## Pm2CoO (GGA+U)

Data for a relaxed Pm2CoO crystal.

Structure (POSCAR):
```
Pm2CoO
1.0
1.757 1.014 8.422
-1.757 1.014 8.422
0.000 -2.029 8.422
Pm Co O
2 1 1
direct
0.111 0.111 0.111 Pm
0.889 0.889 0.889 Pm
0.000 0.000 0.000 Co
0.500 0.500 0.500 O
```

Properties
total moment	1.25	Bohr magnetons per cell
raw total energy	-5.575	eV per atom